[1]
{"formula": "Cr2Cd2Ge", "functional": "PBE-GGA", "state": "relaxed", "vol_a3_per_fu": 84.8, "lattice_angstrom": [[6.1038, 0.0000, 0.0000], [0.0000, 6.1038, 0.0000], [0.0000, 0.0000, 4.5534]], "species": ["Cr", "Cr", "Cr", "Cr", "Cd", "Cd", "Cd", "Cd", "Ge", "Ge"], "frac_coords": [[0.1171, 0.3829, 0.0000], [0.3829, 0.8829, 0.0000], [0.6171, 0.1171, 0.0000], [0.8829, 0.6171, 0.0000], [0.1763, 0.6763, 0.5000], [0.3237, 0.1763, 0.5000], [0.6763, 0.8237, 0.5000], [0.8237, 0.3237, 0.5000], [0.0000, 0.0000, 0.0000], [0.5000, 0.5000, 0.0000]]}

---

[2]
{"formula": "Cr2CdGe2", "functional": "PBE-GGA", "state": "relaxed", "vol_a3_per_fu": 86.7, "de_polymorph_mev_per_atom": 103, "lattice_angstrom": [[3.7298, 0.0000, 0.0000], [0.0000, 3.7298, 0.0000], [0.0000, 0.0000, 12.4605]], "species": ["Cr", "Cr", "Cr", "Cr", "Cd", "Cd", "Ge", "Ge", "Ge", "Ge"], "frac_coords": [[0.0000, 0.0000, 0.1074], [0.0000, 0.0000, 0.8926], [0.5000, 0.5000, 0.3926], [0.5000, 0.5000, 0.6074], [0.0000, 0.0000, 0.5000], [0.5000, 0.5000, 0.0000], [0.0000, 0.5000, 0.2500], [0.0000, 0.5000, 0.7500], [0.5000, 0.0000, 0.2500], [0.5000, 0.0000, 0.7500]]}

---

[3]
{"formula": "Cr2CdGe2", "functional": "PBE-GGA", "state": "relaxed", "vol_a3_per_fu": 76.4, "de_polymorph_mev_per_atom": 0, "lattice_angstrom": [[7.1270, 0.0000, 0.0000], [0.0000, 7.1270, 0.0000], [0.0000, 0.0000, 3.0087]], "species": ["Cr", "Cr", "Cr", "Cr", "Cd", "Cd", "Ge", "Ge", "Ge", "Ge"], "frac_coords": [[0.1148, 0.3852, 0.0000], [0.3852, 0.8852, 0.0000], [0.6148, 0.1148, 0.0000], [0.8852, 0.6148, 0.0000], [0.0000, 0.0000, 0.0000], [0.5000, 0.5000, 0.0000], [0.1721, 0.6721, 0.5000], [0.3279, 0.1721, 0.5000], [0.6721, 0.8279, 0.5000], [0.8279, 0.3279, 0.5000]]}

---

[4]
{"formula": "Cr3CdGe", "functional": "PBE-GGA", "state": "relaxed", "vol_a3_per_fu": 128.1, "de_polymorph_mev_per_atom": 709, "lattice_angstrom": [[5.0413, 0.0000, 0.0000], [0.0000, 5.0413, 0.0000], [0.0000, 0.0000, 5.0413]], "species": ["Cr", "Cr", "Cr", "Cd", "Ge"], "frac_coords": [[0.0000, 0.0000, 0.5000], [0.0000, 0.5000, 0.0000], [0.5000, 0.0000, 0.0000], [0.0000, 0.0000, 0.0000], [0.5000, 0.5000, 0.5000]]}

---

[5]
{"formula": "CrCdGe3", "functional": "PBE-GGA", "state": "relaxed", "vol_a3_per_fu": 104.5, "de_polymorph_mev_per_atom": 0, "lattice_angstrom": [[4.7095, 0.0000, 0.0000], [0.0000, 4.7095, 0.0000], [0.0000, 0.0000, 4.7095]], "species": ["Cr", "Cd", "Ge", "Ge", "Ge"], "frac_coords": [[0.0000, 0.0000, 0.0000], [0.5000, 0.5000, 0.5000], [0.0000, 0.0000, 0.5000], [0.0000, 0.5000, 0.0000], [0.5000, 0.0000, 0.0000]]}

---

[6]
{"formula": "CrCd3Ge", "functional": "PBE-GGA", "state": "relaxed", "vol_a3_per_fu": 139.9, "de_polymorph_mev_per_atom": 0, "lattice_angstrom": [[5.1917, 0.0000, 0.0000], [0.0000, 5.1917, 0.0000], [0.0000, 0.0000, 5.1917]], "species": ["Cr", "Cd", "Cd", "Cd", "Ge"], "frac_coords": [[0.0000, 0.0000, 0.0000], [0.0000, 0.5000, 0.5000], [0.5000, 0.0000, 0.5000], [0.5000, 0.5000, 0.0000], [0.5000, 0.5000, 0.5000]]}

---

[7]
{"formula": "CrCdGe", "functional": "PBE-GGA", "state": "relaxed", "vol_a3_per_fu": 53.5, "lattice_angstrom": [[2.9445, 0.0000, 0.0000], [0.0000, 2.9445, 0.0000], [0.0000, 0.0000, 12.3316]], "species": ["Cr", "Cr", "Cd", "Cd", "Ge", "Ge"], "frac_coords": [[0.2500, 0.2500, 0.0495], [0.7500, 0.7500, 0.9505], [0.2500, 0.2500, 0.3932], [0.7500, 0.7500, 0.6068], [0.2500, 0.2500, 0.8227], [0.7500, 0.7500, 0.1773]]}

---

[8]
{"formula": "Cr3CdGe", "functional": "PBE-GGA", "state": "relaxed", "vol_a3_per_fu": 104.7, "de_polymorph_mev_per_atom": 0, "lattice_angstrom": [[4.7136, 0.0000, 0.0000], [0.0000, 4.7136, 0.0000], [0.0000, 0.0000, 4.7136]], "species": ["Cr", "Cr", "Cr", "Cd", "Ge"], "frac_coords": [[0.0000, 0.0000, 0.5000], [0.0000, 0.5000, 0.0000], [0.5000, 0.0000, 0.0000], [0.5000, 0.5000, 0.5000], [0.0000, 0.0000, 0.0000]]}

---

| no. | M_tot (Bohr magnetons per cell) | formation energy from the elements (kcal/mol of atoms) |
| --- | --- | --- |
| 1 | 0.0 | 6.7 |
| 2 | 10.8 | 8.4 |
| 3 | 0.0 | 6.0 |
| 4 | 12.9 | 37.2 |
| 5 | 0.0 | 5.3 |
| 6 | 4.9 | 17.6 |
| 7 | 0.0 | 3.0 |
| 8 | 10.6 | 20.9 |